[1]
First-principles (GGA-PBEsol) data for crystalline CaSb at its relaxed geometry, as listed in Alexandria.

a b c (Å): 3.8239 3.8239 3.8239
angles (deg): 90.00 90.00 90.00
Last column: nearest neighbours and their distance in Å.
Sites, in units of the cell vectors:
1 Sb 0.5000 0.5000 0.5000  8 Ca 3.31
2 Ca 0.0000 0.0000 0.0000  8 Sb 3.31

formation energy from raw total energies	-795.3	meV/atom

***

[2]
First-principles (GGA-PBEsol) data for crystalline MgIn2 at its relaxed geometry, as listed in Alexandria.

a b c (Å): 3.4307 8.5563 8.5563
angles (deg): 120.00 90.00 90.00
Last column: nearest neighbours and their distance in Å.
Sites, in units of the cell vectors:
1 In 0.0000 0.0000 0.3724  5 Mg 3.19-3.20, 8 In 3.33-3.43
2 In 0.5000 0.7056 0.0000  4 Mg 3.03-3.05, 6 In 3.33-3.38
3 Mg 0.5000 0.3333 0.6667  9 In 3.03-3.20
4 In 0.5000 0.2944 0.2944  4 Mg 3.03-3.05, 6 In 3.33-3.38
5 In 0.0000 0.3724 0.0000  5 Mg 3.19-3.20, 8 In 3.33-3.43
6 In 0.0000 0.6276 0.6276  5 Mg 3.19-3.20, 8 In 3.33-3.43
7 Mg 0.0000 0.0000 0.0000  9 In 3.05-3.19
8 In 0.5000 0.0000 0.7056  4 Mg 3.03-3.05, 6 In 3.33-3.38
9 Mg 0.5000 0.6667 0.3333  9 In 3.03-3.20

E_form	-0.039	eV per atom

***

Number 1: DOS at the Fermi energy 1.7 states/eV/cell. Number 2: DOS at the Fermi energy 4.3 states/eV/cell.